# 1
{"formula": "MnTe2IN", "functional": "PBE-GGA", "state": "relaxed", "lattice_angstrom": [[5.235, 0.000, 0.000], [0.000, 5.235, 0.000], [0.000, 0.000, 5.654]], "species": ["Mn", "Te", "Te", "I", "N"], "fractional_positions": [[0.000, 0.000, 0.000], [0.000, 0.500, 0.000], [0.500, 0.000, 0.000], [0.000, 0.000, 0.500], [0.500, 0.500, 0.500]], "rho_g_cm3": 4.83, "sg": "No. 123", "raw_formation_energy_mev_per_atom": 1178, "polymorph_energy_ev_per_atom": 0.837}

=====

# 2
{"formula": "MnTe2IN", "functional": "PBE-GGA", "state": "relaxed", "lattice_angstrom": [[5.617, 0.000, 0.000], [0.000, 5.617, 0.000], [0.000, 0.000, 3.527]], "species": ["Mn", "Te", "Te", "I", "N"], "fractional_positions": [[0.000, 0.000, 0.000], [0.000, 0.500, 0.000], [0.500, 0.000, 0.000], [0.500, 0.500, 0.500], [0.000, 0.000, 0.500]], "rho_g_cm3": 6.73, "sg": "No. 123", "raw_formation_energy_mev_per_atom": 341, "polymorph_energy_ev_per_atom": 0.000}

=====

# 3
{"formula": "MnTe2IN", "functional": "PBE-GGA", "state": "relaxed", "lattice_angstrom": [[5.947, 0.000, 0.000], [0.000, 5.947, 0.000], [0.000, 0.000, 3.948]], "species": ["Mn", "Te", "Te", "I", "N"], "fractional_positions": [[0.000, 0.000, 0.000], [0.000, 0.500, 0.500], [0.500, 0.000, 0.500], [0.500, 0.500, 0.500], [0.500, 0.500, 0.000]], "rho_g_cm3": 5.37, "sg": "No. 123", "raw_formation_energy_mev_per_atom": 1351, "polymorph_energy_ev_per_atom": 1.009}

=====

# 4
{"formula": "MnTe2IN", "functional": "PBE-GGA", "state": "relaxed", "lattice_angstrom": [[4.657, 0.000, 0.000], [0.000, 4.657, 0.000], [0.000, 0.000, 5.360]], "species": ["Mn", "Te", "Te", "I", "N"], "fractional_positions": [[0.000, 0.000, 0.000], [0.000, 0.500, 0.500], [0.500, 0.000, 0.500], [0.500, 0.500, 0.000], [0.500, 0.500, 0.500]], "rho_g_cm3": 6.44, "sg": "No. 123", "raw_formation_energy_mev_per_atom": 914, "polymorph_energy_ev_per_atom": 0.573}